A plane-wave DFT calculation with PBE was carried out for crystalline RbRe2Tc at its relaxed geometry.

Summary:
E: -7.109 eV/atom
distance to the lowest polymorph of the same formula: 0.000 eV per formula unit
M_tot: 0.0 μB per formula unit
Fermi-level density of states: 4.0 states/eV/cell

Cell and atoms, written as CIF:
```
data_RbRe2Tc
_space_group_name_H-M_alt 'P 1'
_space_group_IT_number 1
_cell_length_a 4.595
_cell_length_b 4.595
_cell_length_c 4.595
_cell_angle_alpha 60.00
_cell_angle_beta 60.00
_cell_angle_gamma 60.00
loop_
_space_group_symop_operation_xyz
'x,y,z'
loop_
_atom_site_label
_atom_site_type_symbol
_atom_site_fract_x
_atom_site_fract_y
_atom_site_fract_z
Re1 Re 0.750 0.750 0.750
Tc1 Tc 0.500 0.500 0.500
Re2 Re 0.250 0.250 0.250
Rb1 Rb 0.000 0.000 0.000
```

---

A plane-wave DFT calculation with PBE was carried out for crystalline PaInF2 at its relaxed geometry.

Summary:
E: -5.800 eV/atom
formation energy from raw total energies: -1.8060 eV/atom
M_tot: 0.5 μB per formula unit
Fermi-level density of states: 3.9 states/eV/cell

Cell and atoms, written as CIF:
```
data_PaInF2
_space_group_name_H-M_alt 'P 1'
_space_group_IT_number 1
_cell_length_a 3.450
_cell_length_b 3.450
_cell_length_c 9.692
_cell_angle_alpha 79.75
_cell_angle_beta 79.75
_cell_angle_gamma 60.00
loop_
_space_group_symop_operation_xyz
'x,y,z'
loop_
_atom_site_label
_atom_site_type_symbol
_atom_site_fract_x
_atom_site_fract_y
_atom_site_fract_z
In1 In 0.500 0.500 0.500
F1 F 0.926 0.926 0.221
Pa1 Pa 0.000 0.000 0.000
F2 F 0.074 0.074 0.779
```

---

A plane-wave DFT calculation with PBE was carried out for crystalline TlCuRu at its relaxed geometry.

Summary:
E: -4.699 eV/atom
distance to the lowest polymorph of the same formula: 0.000 eV per formula unit
M_tot: 0.5 μB per formula unit
Fermi-level density of states: 3.7 states/eV/cell

Cell and atoms, written as CIF:
```
data_TlCuRu
_space_group_name_H-M_alt 'P 1'
_space_group_IT_number 1
_cell_length_a 5.324
_cell_length_b 5.324
_cell_length_c 3.200
_cell_angle_alpha 72.51
_cell_angle_beta 72.51
_cell_angle_gamma 34.98
loop_
_space_group_symop_operation_xyz
'x,y,z'
loop_
_atom_site_label
_atom_site_type_symbol
_atom_site_fract_x
_atom_site_fract_y
_atom_site_fract_z
Cu1 Cu 0.984 0.984 0.016
Ru1 Ru 0.352 0.352 0.648
Tl1 Tl 0.664 0.664 0.336
```

---

A plane-wave DFT calculation with PBE was carried out for crystalline Rb3Ag2Au4 at its relaxed geometry.

Summary:
E: -2.607 eV/atom
M_tot: 0.0 μB per formula unit
Fermi-level density of states: 1.0 states/eV/cell

Cell and atoms, written as CIF:
```
data_Rb3Ag2Au4
_space_group_name_H-M_alt 'P 1'
_space_group_IT_number 1
_cell_length_a 4.803
_cell_length_b 6.680
_cell_length_c 10.139
_cell_angle_alpha 66.14
_cell_angle_beta 76.17
_cell_angle_gamma 68.78
loop_
_space_group_symop_operation_xyz
'x,y,z'
loop_
_atom_site_label
_atom_site_type_symbol
_atom_site_fract_x
_atom_site_fract_y
_atom_site_fract_z
Rb1 Rb 0.000 0.000 0.000
Au1 Au 0.085 0.459 0.371
Au2 Au 0.758 0.568 0.915
Rb2 Rb 0.373 0.879 0.373
Rb3 Rb 0.627 0.121 0.627
Ag1 Ag 0.676 0.420 0.226
Ag2 Ag 0.324 0.580 0.774
Au3 Au 0.915 0.541 0.629
Au4 Au 0.242 0.432 0.085
```

---

A plane-wave DFT calculation with PBE was carried out for crystalline LiTl3Hg5 at its relaxed geometry.

Summary:
E: -1.226 eV/atom
distance to the lowest polymorph of the same formula: 0.201 eV per formula unit
M_tot: 0.0 μB per formula unit
Fermi-level density of states: 7.1 states/eV/cell

Cell and atoms, written as CIF:
```
data_LiTl3Hg5
_space_group_name_H-M_alt 'P 1'
_space_group_IT_number 1
_cell_length_a 6.560
_cell_length_b 9.271
_cell_length_c 9.271
_cell_angle_alpha 120.00
_cell_angle_beta 90.00
_cell_angle_gamma 90.00
loop_
_space_group_symop_operation_xyz
'x,y,z'
loop_
_atom_site_label
_atom_site_type_symbol
_atom_site_fract_x
_atom_site_fract_y
_atom_site_fract_z
Hg1 Hg 0.500 0.333 0.667
Li1 Li 0.000 0.000 0.000
Hg2 Hg 0.000 0.333 0.667
Hg3 Hg 0.250 0.000 0.259
Hg4 Hg 0.250 0.741 0.741
Hg5 Hg 0.250 0.259 0.000
Hg6 Hg 0.500 0.667 0.333
Tl1 Tl 0.750 0.611 0.611
Tl2 Tl 0.750 0.000 0.389
Tl3 Tl 0.250 0.000 0.611
Tl4 Tl 0.750 0.389 0.000
Hg7 Hg 0.750 0.741 0.000
Hg8 Hg 0.000 0.667 0.333
Hg9 Hg 0.750 0.000 0.741
Tl5 Tl 0.250 0.611 0.000
Li2 Li 0.500 0.000 0.000
Hg10 Hg 0.750 0.259 0.259
Tl6 Tl 0.250 0.389 0.389
```

---

A plane-wave DFT calculation with PBE was carried out for crystalline HoTi2Rh3 at its relaxed geometry.

Summary:
E: -7.850 eV/atom
M_tot: 0.0 μB per formula unit
Fermi-level density of states: 6.4 states/eV/cell

Cell and atoms, written as CIF:
```
data_HoTi2Rh3
_space_group_name_H-M_alt 'P 1'
_space_group_IT_number 1
_cell_length_a 3.124
_cell_length_b 3.124
_cell_length_c 10.209
_cell_angle_alpha 90.00
_cell_angle_beta 90.00
_cell_angle_gamma 90.00
loop_
_space_group_symop_operation_xyz
'x,y,z'
loop_
_atom_site_label
_atom_site_type_symbol
_atom_site_fract_x
_atom_site_fract_y
_atom_site_fract_z
Rh1 Rh 0.000 0.000 0.295
Ti1 Ti 0.500 0.500 0.844
Rh2 Rh 0.000 0.000 0.705
Ho1 Ho 0.500 0.500 0.500
Ti2 Ti 0.500 0.500 0.156
Rh3 Rh 0.000 0.000 0.000
```

---

A plane-wave DFT calculation with PBE was carried out for crystalline CdP2Os at its relaxed geometry.

Summary:
E: -5.721 eV/atom
distance to the lowest polymorph of the same formula: 0.083 eV per formula unit
M_tot: 0.0 μB per formula unit
Fermi-level density of states: 1.7 states/eV/cell

Cell and atoms, written as CIF:
```
data_CdP2Os
_space_group_name_H-M_alt 'P 1'
_space_group_IT_number 1
_cell_length_a 3.813
_cell_length_b 3.813
_cell_length_c 7.946
_cell_angle_alpha 106.91
_cell_angle_beta 106.91
_cell_angle_gamma 46.20
loop_
_space_group_symop_operation_xyz
'x,y,z'
loop_
_atom_site_label
_atom_site_type_symbol
_atom_site_fract_x
_atom_site_fract_y
_atom_site_fract_z
Cd1 Cd 0.750 0.750 0.750
P1 P 0.896 0.896 0.089
P2 P 0.604 0.604 0.411
Os1 Os 0.250 0.250 0.250
```

---

Q: Which formula does entry 1 have?
A: RbRe2Tc

---

Q: Which value of E does entry 2 give?
A: -5.800 eV/atom

---

Copy entry 1 word for word.
A plane-wave DFT calculation with PBE was carried out for crystalline RbRe2Tc at its relaxed geometry.

Summary:
E: -7.109 eV/atom
distance to the lowest polymorph of the same formula: 0.000 eV per formula unit
M_tot: 0.0 μB per formula unit
Fermi-level density of states: 4.0 states/eV/cell

Cell and atoms, written as CIF:
```
data_RbRe2Tc
_space_group_name_H-M_alt 'P 1'
_space_group_IT_number 1
_cell_length_a 4.595
_cell_length_b 4.595
_cell_length_c 4.595
_cell_angle_alpha 60.00
_cell_angle_beta 60.00
_cell_angle_gamma 60.00
loop_
_space_group_symop_operation_xyz
'x,y,z'
loop_
_atom_site_label
_atom_site_type_symbol
_atom_site_fract_x
_atom_site_fract_y
_atom_site_fract_z
Re1 Re 0.750 0.750 0.750
Tc1 Tc 0.500 0.500 0.500
Re2 Re 0.250 0.250 0.250
Rb1 Rb 0.000 0.000 0.000
```